# 1
! W7O6F30, relaxed, DFT PBEsol; values from VASP
&SYSTEM
  ibrav = 0, nat = 43, ntyp = 3
/
ATOMIC_SPECIES
W 183.84 W.upf
O 16.00 O.upf
F 19.00 F.upf
ATOMIC_POSITIONS crystal
W 0.000 0.000 0.000
W 0.090 0.755 0.400
W 0.245 0.600 0.910
W 0.400 0.090 0.755
W 0.600 0.910 0.245
W 0.755 0.400 0.090
W 0.910 0.245 0.600
O 0.006 0.106 0.770
O 0.106 0.770 0.006
O 0.230 0.994 0.894
O 0.770 0.006 0.106
O 0.894 0.230 0.994
O 0.994 0.894 0.230
F 0.049 0.375 0.449
F 0.085 0.094 0.481
F 0.094 0.481 0.085
F 0.112 0.746 0.775
F 0.205 0.611 0.552
F 0.225 0.888 0.254
F 0.254 0.225 0.888
F 0.264 0.600 0.283
F 0.283 0.264 0.600
F 0.375 0.449 0.049
F 0.389 0.448 0.795
F 0.400 0.717 0.736
F 0.448 0.795 0.389
F 0.449 0.049 0.375
F 0.481 0.085 0.094
F 0.519 0.915 0.906
F 0.551 0.951 0.625
F 0.552 0.205 0.611
F 0.600 0.283 0.264
F 0.611 0.552 0.205
F 0.625 0.551 0.951
F 0.717 0.736 0.400
F 0.736 0.400 0.717
F 0.746 0.775 0.112
F 0.775 0.112 0.746
F 0.795 0.389 0.448
F 0.888 0.254 0.225
F 0.906 0.519 0.915
F 0.915 0.906 0.519
F 0.951 0.625 0.551
CELL_PARAMETERS angstrom
4.517 2.608 9.358
-4.517 2.608 9.358
0.000 -5.216 9.358
! Fermi-level density of states	0.00	states/eV/atom


# 2
! HgAsW, relaxed, DFT PBEsol; values from VASP
&SYSTEM
  ibrav = 0, nat = 3, ntyp = 3
/
ATOMIC_SPECIES
Hg 200.59 Hg.upf
As 74.92 As.upf
W 183.84 W.upf
ATOMIC_POSITIONS crystal
Hg 0.000 0.000 0.000
As 0.667 0.333 0.390
W 0.333 0.667 0.651
CELL_PARAMETERS angstrom
3.098 0.000 0.000
-1.549 2.683 0.000
0.000 0.000 6.683
! E above lowest polymorph	0.000	eV per atom
! Fermi-level density of states	1.10	states/eV/atom


# 3
! YCo2Cl, relaxed, DFT PBEsol; values from VASP
&SYSTEM
  ibrav = 0, nat = 4, ntyp = 3
/
ATOMIC_SPECIES
Y 88.91 Y.upf
Co 58.93 Co.upf
Cl 35.45 Cl.upf
ATOMIC_POSITIONS crystal
Y 0.000 0.000 0.000
Co 0.000 0.500 0.500
Co 0.500 0.000 0.500
Cl 0.500 0.500 0.000
CELL_PARAMETERS angstrom
3.577 0.000 0.000
0.000 3.577 0.000
0.000 0.000 5.157
! E above lowest polymorph	0.394	eV per atom
! Fermi-level density of states	0.91	states/eV/atom


no.,energy (eV for the cell shown)
1,-296.3
2,-18.3
3,-24.3